Here is crystalline V4Cr3Co at its relaxed geometry from Alexandria via LeMat-Bulk. Energies are from PBE.

a b c (Å): 2.9083 4.1201 8.1681
angles (deg): 90.00 90.00 90.00
Fractional coordinates of all 8 atoms:
Cr 0.5000 0.0000 0.2443
Cr 0.5000 0.5000 0.5000
Cr 0.5000 0.0000 0.7557
Co 0.5000 0.5000 0.0000
V 0.0000 0.0000 0.5000
V 0.0000 0.5000 0.7483
V 0.0000 0.0000 0.0000
V 0.0000 0.5000 0.2517

Summary:
- energy (eV/cell) = -73.39
- total magnetization (μB per formula unit) = 0.0
- symmetry = No. 47
- calculated volume (Å³/f.u.) = 97.87